Entry 1:
Entry from Alexandria via LeMat-Bulk: a relaxed RbTlBi2 crystal (PBE).

```
RbTlBi2
1.0
4.486 0.000 0.000
0.000 4.486 0.000
0.000 0.000 7.708
Rb Tl Bi
1 1 2
Direct
0.000 0.000 0.000
0.000 0.000 0.500
0.500 0.500 0.309
0.500 0.500 0.691
```

Calculated values
Formation energy from the elements: -0.073 eV per atom
Uncorrected energy: -2.85 eV per atom
Relative energy among the computed polymorphs: 107 meV/atom
Fermi-level density of states: 4.22 states/eV per cell

***

Entry 2:
Entry from Alexandria via LeMat-Bulk: a relaxed Rb3Tl2Bi4 crystal (PBE).

```
Rb3Tl2Bi4
1.0
6.645 -2.719 0.000
6.645 2.719 0.000
-1.744 0.000 10.403
Rb Tl Bi
3 2 4
Direct
0.000 0.000 0.000
0.389 0.389 0.295
0.611 0.611 0.705
0.292 0.292 0.630
0.708 0.708 0.370
0.081 0.081 0.407
0.284 0.284 0.939
0.716 0.716 0.061
0.919 0.919 0.593
```

Calculated values
Formation energy from the elements: -0.226 eV per atom
Uncorrected energy: -2.80 eV per atom
Relative energy among the computed polymorphs: 9 meV/atom
Fermi-level density of states: 6.38 states/eV per cell

***

Entry 3:
Entry from Alexandria via LeMat-Bulk: a relaxed Rb3Tl5Bi2 crystal (PBE).

```
Rb3Tl5Bi2
1.0
12.764 0.000 0.000
0.000 12.764 0.000
0.000 0.000 4.955
Rb Tl Bi
6 10 4
Direct
0.000 0.000 0.000
0.161 0.339 0.000
0.339 0.839 0.000
0.500 0.500 0.000
0.661 0.161 0.000
0.839 0.661 0.000
0.000 0.500 0.500
0.087 0.795 0.500
0.205 0.087 0.500
0.295 0.587 0.500
0.413 0.295 0.500
0.500 0.000 0.500
0.587 0.705 0.500
0.705 0.413 0.500
0.795 0.913 0.500
0.913 0.205 0.500
0.136 0.636 0.000
0.364 0.136 0.000
0.636 0.864 0.000
0.864 0.364 0.000
```

Calculated values
Formation energy from the elements: -0.154 eV per atom
Uncorrected energy: -2.40 eV per atom
Relative energy among the computed polymorphs: 0 meV/atom
Fermi-level density of states: 7.71 states/eV per cell

***

Entry 4:
Entry from Alexandria via LeMat-Bulk: a relaxed RbTl8Bi4 crystal (PBE).

```
RbTl8Bi4
1.0
-5.924 5.924 3.258
5.924 -5.924 3.258
5.924 5.924 -3.258
Rb Tl Bi
1 8 4
Direct
0.000 0.000 0.000
0.000 0.358 0.358
0.000 0.642 0.642
0.295 0.500 0.795
0.358 0.000 0.358
0.500 0.295 0.795
0.500 0.705 0.205
0.642 0.000 0.642
0.705 0.500 0.205
0.000 0.000 0.500
0.000 0.500 0.000
0.500 0.000 0.000
0.500 0.500 0.500
```

Calculated values
Formation energy from the elements: -0.043 eV per atom
Uncorrected energy: -2.77 eV per atom
Fermi-level density of states: 7.95 states/eV per cell

***

Entry 5:
Entry from Alexandria via LeMat-Bulk: a relaxed RbTl6Bi2 crystal (PBE).

```
RbTl6Bi2
1.0
5.331 0.000 0.000
0.000 5.331 0.000
0.000 0.000 11.414
Rb Tl Bi
1 6 2
Direct
0.000 0.000 0.000
0.000 0.000 0.500
0.000 0.500 0.306
0.000 0.500 0.694
0.500 0.000 0.306
0.500 0.000 0.694
0.500 0.500 0.500
0.500 0.500 0.138
0.500 0.500 0.862
```

Calculated values
Formation energy from the elements: -0.080 eV per atom
Uncorrected energy: -2.63 eV per atom
Fermi-level density of states: 4.58 states/eV per cell

***

Entry 6:
Entry from Alexandria via LeMat-Bulk: a relaxed RbTl2Bi crystal (PBE).

```
RbTl2Bi
1.0
4.219 0.000 0.000
0.000 4.219 0.000
0.000 0.000 8.251
Rb Tl Bi
1 2 1
Direct
0.000 0.000 0.000
0.500 0.500 0.299
0.500 0.500 0.701
0.000 0.000 0.500
```

Calculated values
Formation energy from the elements: -0.143 eV per atom
Uncorrected energy: -2.54 eV per atom
Relative energy among the computed polymorphs: 60 meV/atom
Fermi-level density of states: 1.83 states/eV per cell

***

Entry 7:
Entry from Alexandria via LeMat-Bulk: a relaxed RbTlBi4 crystal (PBE).

```
RbTlBi4
1.0
0.000 4.792 4.792
4.792 0.000 4.792
4.792 4.792 0.000
Rb Tl Bi
1 1 4
Direct
0.000 0.000 0.000
0.250 0.250 0.250
0.129 0.624 0.624
0.624 0.129 0.624
0.624 0.624 0.129
0.624 0.624 0.624
```

Calculated values
Formation energy from the elements: -0.095 eV per atom
Uncorrected energy: -3.24 eV per atom
Fermi-level density of states: 6.42 states/eV per cell

***

Entry 8:
Entry from Alexandria via LeMat-Bulk: a relaxed RbTl2Bi crystal (PBE).

```
RbTl2Bi
1.0
0.000 4.144 4.144
4.144 0.000 4.144
4.144 4.144 0.000
Rb Tl Bi
1 2 1
Direct
0.000 0.000 0.000
0.250 0.250 0.250
0.750 0.750 0.750
0.500 0.500 0.500
```

Calculated values
Formation energy from the elements: -0.168 eV per atom
Uncorrected energy: -2.56 eV per atom
Relative energy among the computed polymorphs: 35 meV/atom
Fermi-level density of states: 0.35 states/eV per cell

***

Entry 9:
Entry from Alexandria via LeMat-Bulk: a relaxed Rb3TlBi crystal (PBE).

```
Rb3TlBi
1.0
-6.104 4.461 5.141
6.104 -4.461 5.141
6.104 4.461 -5.141
Rb Tl Bi
6 2 2
Direct
0.231 0.037 0.267
0.231 0.463 0.694
0.246 0.531 0.215
0.315 0.031 0.785
0.769 0.537 0.306
0.769 0.963 0.733
0.585 0.889 0.196
0.693 0.389 0.804
0.026 0.685 0.842
0.843 0.185 0.158
```

Calculated values
Formation energy from the elements: -0.153 eV per atom
Uncorrected energy: -1.98 eV per atom
Relative energy among the computed polymorphs: 0 meV/atom
Fermi-level density of states: 7.09 states/eV per cell

***

Entry 10:
Entry from Alexandria via LeMat-Bulk: a relaxed Rb3Tl8Bi3 crystal (PBE).

```
Rb3Tl8Bi3
1.0
-2.714 6.068 7.897
2.714 -6.068 7.897
2.714 6.068 -7.897
Rb Tl Bi
3 8 3
Direct
0.000 0.000 0.000
0.309 0.309 0.000
0.691 0.691 0.000
0.029 0.667 0.362
0.146 0.866 0.279
0.305 0.667 0.638
0.413 0.134 0.279
0.587 0.866 0.721
0.695 0.333 0.362
0.854 0.134 0.721
0.971 0.333 0.638
0.302 0.500 0.802
0.500 0.000 0.500
0.698 0.500 0.198
```

Calculated values
Formation energy from the elements: -0.108 eV per atom
Uncorrected energy: -2.50 eV per atom
Relative energy among the computed polymorphs: 42 meV/atom
Fermi-level density of states: 7.73 states/eV per cell

***

Entry 11:
Entry from Alexandria via LeMat-Bulk: a relaxed Rb2Tl2Bi3 crystal (PBE).

```
Rb2Tl2Bi3
1.0
6.739 -2.701 0.000
6.739 2.701 0.000
-3.486 0.000 7.650
Rb Tl Bi
2 2 3
Direct
0.150 0.150 0.285
0.850 0.850 0.715
0.149 0.149 0.756
0.851 0.851 0.244
0.412 0.412 0.071
0.500 0.500 0.500
0.588 0.588 0.929
```

Calculated values
Formation energy from the elements: -0.211 eV per atom
Uncorrected energy: -2.83 eV per atom
Fermi-level density of states: 2.93 states/eV per cell

***

Entry 12:
Entry from Alexandria via LeMat-Bulk: a relaxed Rb2TlBi crystal (PBE).

```
Rb2TlBi
1.0
0.000 4.400 4.400
4.400 0.000 4.400
4.400 4.400 0.000
Rb Tl Bi
2 1 1
Direct
0.250 0.250 0.250
0.750 0.750 0.750
0.000 0.000 0.000
0.500 0.500 0.500
```

Calculated values
Formation energy from the elements: -0.158 eV per atom
Uncorrected energy: -2.20 eV per atom
Relative energy among the computed polymorphs: 68 meV/atom
Fermi-level density of states: 0.00 states/eV per cell